[1]
A geometry-optimized Y2ErIn2 structure, computed with PBE-GGA.

Values from the calculation:
The calculation puts the formation enthalpy at 0 K at -0.406 eV/atom. The value obtained for the total energy is -5.00 eV per atom.

Unit cell a=8.1432 b=8.1432 c=4.3424 alpha=90.00 beta=90.00 gamma=90.00
Closest atoms and distances in Å follow each position.
Element x y z (fractional)
Y 0.1742 0.3258 0.0000  6 In 3.16-3.30
Y 0.3258 0.8258 0.0000  6 In 3.16-3.30
Y 0.6742 0.1742 0.0000  6 In 3.16-3.30
Y 0.8258 0.6742 0.0000  6 In 3.16-3.30
Er 0.0000 0.0000 0.5000  4 In 3.21
Er 0.5000 0.5000 0.5000  4 In 3.21
In 0.1266 0.6266 0.5000  1 In 2.92, 2 Y 3.16, 2 Er 3.21
In 0.3734 0.1266 0.5000  1 In 2.92, 2 Y 3.16, 2 Er 3.21
In 0.6266 0.8734 0.5000  1 In 2.92, 2 Y 3.16, 2 Er 3.21
In 0.8734 0.3734 0.5000  1 In 2.92, 2 Y 3.16, 2 Er 3.21

=====

[2]
A geometry-optimized Y12Er6In structure, computed with PBE-GGA.

Values from the calculation:
The calculation puts the formation enthalpy at 0 K at 0.105 eV/atom. The value obtained for the total energy is -5.56 eV per atom.

Unit cell a=8.5667 b=8.5667 c=8.5667 alpha=97.49 beta=97.49 gamma=97.49
Closest atoms and distances in Å follow each position.
Element x y z (fractional)
Y 0.0000 0.2597 0.7403  4 Er 3.32-3.45, 6 Y 3.35-3.64, 1 In 3.35
Y 0.0000 0.7403 0.2597  4 Er 3.32-3.45, 6 Y 3.35-3.64, 1 In 3.35
Y 0.1722 0.5787 0.5787  5 Y 3.13-3.47
Y 0.2597 0.0000 0.7403  4 Er 3.32-3.45, 6 Y 3.35-3.64, 1 In 3.35
Y 0.2597 0.7403 0.0000  4 Er 3.32-3.45, 1 In 3.35, 6 Y 3.35-3.64
Y 0.4213 0.4213 0.8278  5 Y 3.13-3.47
Y 0.4213 0.8278 0.4213  5 Y 3.13-3.47
Y 0.5787 0.1722 0.5787  5 Y 3.13-3.47
Y 0.5787 0.5787 0.1722  5 Y 3.13-3.47
Y 0.7403 0.0000 0.2597  4 Er 3.32-3.45, 6 Y 3.35-3.64, 1 In 3.35
Y 0.7403 0.2597 0.0000  4 Er 3.32-3.45, 1 In 3.35, 6 Y 3.35-3.64
Y 0.8278 0.4213 0.4213  5 Y 3.13-3.47
Er 0.1357 0.1357 0.4069  4 Y 3.32-3.45, 2 Er 3.49, 1 In 3.52
Er 0.1357 0.4069 0.1357  4 Y 3.32-3.45, 2 Er 3.49, 1 In 3.52
Er 0.4069 0.1357 0.1357  4 Y 3.32-3.45, 2 Er 3.49, 1 In 3.52
Er 0.5931 0.8643 0.8643  4 Y 3.32-3.45, 2 Er 3.49, 1 In 3.52
Er 0.8643 0.5931 0.8643  4 Y 3.32-3.45, 2 Er 3.49, 1 In 3.52
Er 0.8643 0.8643 0.5931  4 Y 3.32-3.45, 2 Er 3.49, 1 In 3.52
In 0.0000 0.0000 0.0000  6 Y 3.35, 6 Er 3.52

=====

[3]
A geometry-optimized Y12Er6In structure, computed with PBE-GGA.

Values from the calculation:
The calculation puts the formation enthalpy at 0 K at 0.066 eV/atom. The value obtained for the total energy is -5.60 eV per atom.

Unit cell a=8.4627 b=8.4627 c=8.4627 alpha=88.73 beta=88.73 gamma=88.73
Closest atoms and distances in Å follow each position.
Element x y z (fractional)
Y 0.0390 0.2827 0.9342  3 Er 3.31-3.47, 6 Y 3.32-3.66
Y 0.0658 0.9610 0.7173  3 Er 3.31-3.47, 6 Y 3.32-3.66
Y 0.1357 0.3226 0.4863  4 Er 3.39-3.68, 1 In 3.46, 5 Y 3.48-3.75
Y 0.2827 0.9342 0.0390  3 Er 3.31-3.47, 6 Y 3.32-3.66
Y 0.3226 0.4863 0.1357  4 Er 3.39-3.68, 1 In 3.46, 5 Y 3.48-3.75
Y 0.4863 0.1357 0.3226  4 Er 3.39-3.68, 1 In 3.46, 5 Y 3.48-3.75
Y 0.5137 0.8643 0.6774  4 Er 3.39-3.68, 1 In 3.46, 5 Y 3.48-3.75
Y 0.6774 0.5137 0.8643  4 Er 3.39-3.68, 1 In 3.46, 5 Y 3.48-3.75
Y 0.7173 0.0658 0.9610  3 Er 3.31-3.47, 6 Y 3.32-3.66
Y 0.8643 0.6774 0.5137  4 Er 3.39-3.68, 1 In 3.46, 5 Y 3.48-3.75
Y 0.9342 0.0390 0.2827  3 Er 3.31-3.47, 6 Y 3.32-3.66
Y 0.9610 0.7173 0.0658  3 Er 3.31-3.47, 6 Y 3.32-3.66
Er 0.2118 0.5971 0.7593  7 Y 3.31-3.68, 1 In 3.35, 2 Er 3.40
Er 0.2407 0.7882 0.4029  7 Y 3.31-3.68, 1 In 3.35, 2 Er 3.40
Er 0.4029 0.2407 0.7882  7 Y 3.31-3.68, 1 In 3.35, 2 Er 3.40
Er 0.5971 0.7593 0.2118  7 Y 3.31-3.68, 1 In 3.35, 2 Er 3.40
Er 0.7593 0.2118 0.5971  7 Y 3.31-3.68, 1 In 3.35, 2 Er 3.40
Er 0.7882 0.4029 0.2407  7 Y 3.31-3.68, 1 In 3.35, 2 Er 3.40
In 0.5000 0.5000 0.5000  6 Er 3.35, 6 Y 3.46

=====

[4]
A geometry-optimized Y5ErIn6 structure, computed with PBE-GGA.

Values from the calculation:
The calculation puts the formation enthalpy at 0 K at -0.489 eV/atom. The value obtained for the total energy is -4.93 eV per atom.

Unit cell a=9.2160 b=9.2160 c=9.2160 alpha=146.46 beta=132.02 gamma=59.81
Closest atoms and distances in Å follow each position.
Element x y z (fractional)
Y 0.0000 0.0000 0.0000  8 In 3.25-3.26
Y 0.1662 0.6662 0.5000  8 In 3.26
Y 0.3326 0.3326 0.0000  8 In 3.25-3.26
Y 0.6674 0.6674 0.0000  8 In 3.25-3.26
Y 0.8338 0.3338 0.5000  8 In 3.26
Er 0.5000 0.0000 0.5000  8 In 3.24
In 0.0853 0.8340 0.2513  1 Er 3.24, 7 Y 3.25-3.26
In 0.2527 0.5000 0.7527  2 Er 3.24, 6 Y 3.25-3.26
In 0.4174 0.1660 0.2513  1 Er 3.24, 7 Y 3.25-3.26
In 0.5826 0.8340 0.7487  1 Er 3.24, 7 Y 3.25-3.26
In 0.7473 0.5000 0.2473  2 Er 3.24, 6 Y 3.25-3.26
In 0.9147 0.1660 0.7487  1 Er 3.24, 7 Y 3.25-3.26

=====

[5]
A geometry-optimized YEr2In3 structure, computed with PBE-GGA.

Values from the calculation:
The calculation puts the formation enthalpy at 0 K at -0.457 eV/atom. The value obtained for the total energy is -4.42 eV per atom.

Unit cell a=5.2856 b=5.2856 c=6.4868 alpha=90.00 beta=90.00 gamma=120.00
Closest atoms and distances in Å follow each position.
Element x y z (fractional)
Y 0.0000 0.0000 0.0000  8 In 3.24
Er 0.3333 0.6667 0.6650  8 In 3.23-3.26
Er 0.6667 0.3333 0.3350  8 In 3.23-3.26
In 0.0000 0.0000 0.5000  6 Er 3.23, 2 Y 3.24
In 0.3333 0.6667 0.1670  5 Er 3.23-3.26, 3 Y 3.24
In 0.6667 0.3333 0.8330  5 Er 3.23-3.26, 3 Y 3.24

=====

[6]
A geometry-optimized Y8Er6In structure, computed with PBE-GGA.

Values from the calculation:
The calculation puts the formation enthalpy at 0 K at 0.088 eV/atom. The value obtained for the total energy is -5.37 eV per atom.

Unit cell a=9.3631 b=9.3631 c=6.2769 alpha=90.00 beta=90.00 gamma=120.00
Closest atoms and distances in Å follow each position.
Element x y z (fractional)
Y 0.0398 0.2679 0.3108  1 In 3.05, 3 Y 3.34-3.35, 1 Er 3.36
Y 0.2281 0.9602 0.3108  1 In 3.05, 3 Y 3.34-3.35, 1 Er 3.36
Y 0.2679 0.2281 0.6892  1 In 3.05, 3 Y 3.34-3.35, 1 Er 3.36
Y 0.3333 0.6667 0.3130  3 Y 3.35, 3 Er 3.67
Y 0.6667 0.3333 0.6870  3 Y 3.35, 3 Er 3.67
Y 0.7321 0.7719 0.3108  1 In 3.05, 3 Y 3.34-3.35, 1 Er 3.36
Y 0.7719 0.0398 0.6892  1 In 3.05, 3 Y 3.34-3.35, 1 Er 3.36
Y 0.9602 0.7321 0.6892  1 In 3.05, 3 Y 3.34-3.35, 1 Er 3.36
Er 0.0944 0.4550 0.8178  1 Er 3.25, 5 Y 3.36-3.63
Er 0.3607 0.9056 0.8178  1 Er 3.25, 5 Y 3.36-3.63
Er 0.4550 0.3607 0.1822  1 Er 3.25, 5 Y 3.36-3.63
Er 0.5450 0.6393 0.8178  1 Er 3.25, 5 Y 3.36-3.63
Er 0.6393 0.0944 0.1822  1 Er 3.25, 5 Y 3.36-3.63
Er 0.9056 0.5450 0.1822  1 Er 3.25, 5 Y 3.36-3.63
In 0.0000 0.0000 0.0000  6 Y 3.05

=====

[7]
A geometry-optimized Y3Er5In2 structure, computed with PBE-GGA.

Values from the calculation:
The calculation puts the formation enthalpy at 0 K at 0.083 eV/atom. The value obtained for the total energy is -4.69 eV per atom.

Unit cell a=10.5081 b=10.5081 c=10.5081 alpha=105.86 beta=84.70 gamma=144.99
Closest atoms and distances in Å follow each position.
Element x y z (fractional)
Y 0.2290 0.1126 0.3417  4 In 3.40-3.72, 4 Er 3.42-3.58
Y 0.2500 0.2500 0.0000  2 Y 3.16, 2 Er 3.19, 4 In 3.27
Y 0.2710 0.6126 0.8836  4 In 3.40-3.72, 4 Er 3.42-3.58
Y 0.7290 0.3874 0.1164  4 In 3.40-3.72, 4 Er 3.42-3.58
Y 0.7500 0.7500 0.0000  2 Y 3.16, 2 Er 3.19, 4 In 3.27
Y 0.7710 0.8874 0.6583  4 In 3.40-3.72, 4 Er 3.42-3.58
Er 0.1635 0.3774 0.5409  1 In 2.95
Er 0.2500 0.5014 0.2514  2 In 3.14, 5 Er 3.15-3.39, 1 Y 3.19
Er 0.2500 0.7500 0.5000  8 Er 3.15-3.37
Er 0.2500 0.9986 0.7486  2 In 3.14, 5 Er 3.15-3.39, 1 Y 3.19
Er 0.3365 0.8774 0.2139  1 In 2.95
Er 0.6635 0.1226 0.7861  1 In 2.95
Er 0.7500 0.0014 0.2514  2 In 3.14, 5 Er 3.15-3.39, 1 Y 3.19
Er 0.7500 0.2500 0.5000  8 Er 3.15-3.37
Er 0.7500 0.4986 0.7486  2 In 3.14, 5 Er 3.15-3.39, 1 Y 3.19
Er 0.8365 0.6226 0.4591  1 In 2.95
In 0.1469 0.8638 0.0108  3 Er 2.95-3.14, 2 Y 3.27
In 0.3531 0.3638 0.7169  3 Er 2.95-3.14, 2 Y 3.27
In 0.6469 0.6362 0.2831  3 Er 2.95-3.14, 2 Y 3.27
In 0.8531 0.1362 0.9892  3 Er 2.95-3.14, 2 Y 3.27

=====

[8]
A geometry-optimized Y3Er2In structure, computed with PBE-GGA.

Values from the calculation:
The calculation puts the formation enthalpy at 0 K at -0.165 eV/atom. The value obtained for the total energy is -5.37 eV per atom.

Unit cell a=7.9107 b=7.9107 c=4.8395 alpha=90.00 beta=90.00 gamma=144.05
Closest atoms and distances in Å follow each position.
Element x y z (fractional)
Y 0.0000 0.0000 0.0000  4 In 3.44, 4 Er 3.44, 4 Y 3.51
Y 0.3321 0.6679 0.0000  6 Er 3.44-3.51, 4 Y 3.47-3.51, 2 In 3.50
Y 0.6679 0.3321 0.0000  6 Er 3.44-3.51, 4 Y 3.47-3.51, 2 In 3.50
Er 0.1628 0.8372 0.5000  8 Y 3.44-3.51, 2 In 3.46, 2 Er 3.59
Er 0.8372 0.1628 0.5000  8 Y 3.44-3.51, 2 In 3.46, 2 Er 3.59
In 0.5000 0.5000 0.5000  8 Y 3.44-3.50, 4 Er 3.46

=====

[9]
A geometry-optimized YEr2In2 structure, computed with PBE-GGA.

Values from the calculation:
The calculation puts the formation enthalpy at 0 K at -0.385 eV/atom. The value obtained for the total energy is -4.60 eV per atom.

Unit cell a=3.7325 b=5.3148 c=13.9026 alpha=90.00 beta=97.72 gamma=90.00
Closest atoms and distances in Å follow each position.
Element x y z (fractional)
Y 0.1481 0.2500 0.2978  6 In 3.25-3.32, 2 Er 3.60
Y 0.8519 0.7500 0.7022  6 In 3.25-3.32, 2 Er 3.60
Er 0.0480 0.7500 0.0961  8 In 3.23-3.27
Er 0.2373 0.7500 0.4747  2 In 3.18, 4 Er 3.32
Er 0.7627 0.2500 0.5253  2 In 3.18, 4 Er 3.32
Er 0.9520 0.2500 0.9039  8 In 3.23-3.27
In 0.3569 0.2500 0.7125  4 Er 3.18-3.23, 4 Y 3.25
In 0.4505 0.7500 0.9014  6 Er 3.25-3.27, 2 Y 3.32
In 0.5495 0.2500 0.0986  6 Er 3.25-3.27, 2 Y 3.32
In 0.6431 0.7500 0.2875  4 Er 3.18-3.23, 4 Y 3.25

=====

[10]
A geometry-optimized Y2ErZn2In2 structure, computed with PBE-GGA.

Values from the calculation:
The calculation puts the formation enthalpy at 0 K at -0.283 eV/atom. The value obtained for the total energy is -3.93 eV per atom.

Unit cell a=9.4857 b=9.4857 c=9.4857 alpha=28.62 beta=28.62 gamma=28.62
Closest atoms and distances in Å follow each position.
Element x y z (fractional)
Y 0.1268 0.1268 0.1268  3 In 3.13, 3 Zn 3.28, 1 Er 3.46, 3 Y 3.47
Y 0.8732 0.8732 0.8732  3 In 3.13, 3 Zn 3.28, 1 Er 3.46, 3 Y 3.47
Er 0.0000 0.0000 0.0000  6 Zn 3.15, 6 In 3.30, 2 Y 3.46
Zn 0.3922 0.3922 0.3922  3 In 2.72
Zn 0.6078 0.6078 0.6078  3 In 2.72
In 0.2640 0.2640 0.2640  3 Zn 2.72
In 0.7360 0.7360 0.7360  3 Zn 2.72